Record 1
{
  "formula": "BaCa2Fe",
  "functional": "PBEsol",
  "state": "optimized geometry",
  "energy_ev_per_atom": -3.21,
  "rho_g_cm3": 3.51,
  "m_tot_mub_per_fu": 1.984,
  "delta_e_f_mev_per_atom": 634,
  "lattice": [[4.934, 0.000, 0.000], [0.000, 4.934, 0.000], [0.000, 0.000, 5.316]],
  "species": ["Ba", "Ca", "Ca", "Fe"],
  "frac_coords": [[0.000, 0.000, 0.000], [0.000, 0.500, 0.500], [0.500, 0.000, 0.500], [0.500, 0.500, 0.000]]
}

---

Record 2
{
  "formula": "BaLa2Cd",
  "functional": "PBEsol",
  "state": "optimized geometry",
  "energy_ev_per_atom": -3.61,
  "e_above_lowest_polymorph_ev_per_atom": 0.000,
  "rho_g_cm3": 6.17,
  "m_tot_mub_per_fu": 0.000,
  "delta_e_f_mev_per_atom": -98,
  "lattice": [[3.866, 0.000, 0.000], [0.000, 3.866, 0.000], [0.000, 0.000, 9.500]],
  "species": ["Ba", "La", "La", "Cd"],
  "frac_coords": [[0.000, 0.000, 0.000], [0.000, 0.000, 0.436], [0.500, 0.500, 0.673], [0.500, 0.500, 0.242]]
}